The following is a PBE with a Hubbard U calculation of a geometry-optimized Na2CoP2O7 structure, from the Alexandria database.

Results
- Offset from the most stable computed form: 0.00 kJ/mol of atoms
- Spin magnetization: 12.19 Bohr magnetons per cell
- Fermi-level density of states: 0.000 states/eV per atom
- Raw total energy: -6.52 eV/atom
- Crystal system: monoclinic

Lattice parameters (Å, degrees): 5.248 13.718 10.232 90.00 119.09 90.00
Space group P2_1/c (No. 14)
Symmetry-distinct sites (fractional):
Na  0.069  0.107  0.362
Na  0.405  0.202  0.139
Co  0.033  0.168  0.734
P  0.289  0.691  0.553
P  0.471  0.541  0.768
O  0.080  0.700  0.384
O  0.166  0.736  0.648
O  0.225  0.552  0.809
O  0.279  0.115  0.642
O  0.326  0.575  0.591
O  0.405  0.230  0.907
O  0.431  0.562  0.227


The following is a PBE with a Hubbard U calculation of a geometry-optimized Na2CoP2O7 structure, from the Alexandria database.

Results
- Offset from the most stable computed form: 1.83 kJ/mol of atoms
- Spin magnetization: 11.92 Bohr magnetons per cell
- Fermi-level density of states: 0.000 states/eV per atom
- Raw total energy: -6.50 eV/atom
- Crystal system: monoclinic

Lattice parameters (Å, degrees): 14.940 5.832 8.281 90.00 115.55 90.00
Space group C2/c (No. 15)
Symmetry-distinct sites (fractional):
Na  0.231  0.142  0.301
Co  0.000  0.000  0.000
P  0.106  0.340  0.845
O  0.000  0.475  0.750
O  0.104  0.213  0.007
O  0.110  0.167  0.706
O  0.187  0.481  0.398


The following is a PBE with a Hubbard U calculation of a geometry-optimized Na2CoP2O7 structure, from the Alexandria database.

Results
- Offset from the most stable computed form: 1.79 kJ/mol of atoms
- Spin magnetization: 6.00 Bohr magnetons per cell
- Fermi-level density of states: 0.000 states/eV per atom
- Raw total energy: -6.50 eV/atom
- Crystal system: triclinic

Lattice parameters (Å, degrees): 5.303 6.573 9.447 69.65 73.77 75.42
Space group P-1 (No. 2)
Symmetry-distinct sites (fractional):
Na  0.143  0.267  0.468
Na  0.353  0.576  0.782
Co  0.091  0.769  0.129
P  0.254  0.227  0.114
P  0.427  0.803  0.361
O  0.068  0.115  0.076
O  0.100  0.432  0.160
O  0.249  0.676  0.329
O  0.278  0.256  0.707
O  0.331  0.067  0.277
O  0.363  0.792  0.530
O  0.491  0.734  0.006


The following is a PBE with a Hubbard U calculation of a geometry-optimized NaPaCo2O8 structure, from the Alexandria database.

Results
- Spin magnetization: 4.03 Bohr magnetons per cell
- Fermi-level density of states: 0.547 states/eV per atom
- Raw total energy: -5.97 eV/atom
- Crystal system: trigonal

Lattice parameters (Å, degrees): 4.6735 4.6735 6.1620 90.00 90.00 120.00
Space group P-31m (No. 162)
Symmetry-distinct sites (fractional):
Na  0.0000  0.0000  0.0000
Pa  0.0000  0.0000  0.5000
Co  0.3333  0.6667  0.0000
O  0.0000  0.3610  0.1848
O  0.3333  0.6667  0.5000


The following is a PBE with a Hubbard U calculation of a geometry-optimized NaPaCoO4 structure, from the Alexandria database.

Results
- Spin magnetization: 12.07 Bohr magnetons per cell
- Fermi-level density of states: 0.000 states/eV per atom
- Raw total energy: -7.54 eV/atom
- Crystal system: orthorhombic

Lattice parameters (Å, degrees): 6.376 7.146 8.910 90.00 90.00 90.00
Space group Imma (No. 74)
Symmetry-distinct sites (fractional):
Na  0.000  0.250  0.142
Pa  0.000  0.000  0.500
Co  0.250  0.250  0.750
O  0.000  0.047  0.736
O  0.210  0.250  0.498


The following is a PBE with a Hubbard U calculation of a geometry-optimized Na2PaCoO6 structure, from the Alexandria database.

Results
- Spin magnetization: 1.96 Bohr magnetons per cell
- Fermi-level density of states: 0.326 states/eV per atom
- Raw total energy: -6.60 eV/atom
- Crystal system: triclinic

Lattice parameters (Å, degrees): 5.524 5.598 5.608 60.71 61.02 61.07
Space group P-1 (No. 2)
Symmetry-distinct sites (fractional):
Na  0.250  0.236  0.253
Pa  0.500  0.500  0.500
Co  0.000  0.000  0.000
O  0.210  0.804  0.714
O  0.237  0.683  0.243
O  0.260  0.182  0.827


The following is a PBE with a Hubbard U calculation of a geometry-optimized Na2CoPbO4 structure, from the Alexandria database.

Results
- Spin magnetization: 6.03 Bohr magnetons per cell
- Fermi-level density of states: 0.147 states/eV per atom
- Raw total energy: -5.10 eV/atom
- Crystal system: tetragonal

Lattice parameters (Å, degrees): 5.538 5.538 7.984 90.00 90.00 90.00
Space group I-4 (No. 82)
Symmetry-distinct sites (fractional):
Na  0.000  0.000  0.000
Na  0.000  0.500  0.250
Co  0.000  0.500  0.750
Pb  0.000  0.000  0.500
O  0.203  0.258  0.638


The following is a PBE with a Hubbard U calculation of a geometry-optimized NaCoPbO4 structure, from the Alexandria database.

Results
- Spin magnetization: 0.00 Bohr magnetons per cell
- Raw total energy: -5.35 eV/atom
- Crystal system: orthorhombic

Lattice parameters (Å, degrees): 5.995 6.707 8.997 90.00 90.00 90.00
Space group Imma (No. 74)
Symmetry-distinct sites (fractional):
Na  0.000  0.250  0.138
Co  0.250  0.250  0.750
Pb  0.000  0.000  0.500
O  0.000  0.057  0.745
O  0.242  0.250  0.534


- Look up the raw total energy of the fifth one.
  -7.54 eV/atom